Record 1
# Pm6Sm12Y, relaxed, DFT GGA-PBE
# - excess energy over the best structure of this formula in the dataset (eV per atom) = 0.000
data_Pm6Sm12Y
_space_group_name_H-M_alt 'R -3'
_space_group_IT_number 148
_space_group_name_Hall '-R 3'
_cell_length_a 12.1990
_cell_length_b 12.1990
_cell_length_c 15.2852
_cell_angle_alpha 90.00
_cell_angle_beta 90.00
_cell_angle_gamma 120.00
loop_
_atom_site_label
_atom_site_type_symbol
_atom_site_fract_x
_atom_site_fract_y
_atom_site_fract_z
Pm1 Pm 0.0120 0.4221 0.1842
Sm1 Sm 0.0058 0.8315 0.6905
Sm2 Sm 0.0462 0.8520 0.9165
Y1 Y 0.0000 0.0000 0.5000

---

Record 2
# FeAu, relaxed, DFT GGA-PBE
# - E (Ry per atom) = -0.4121
data_FeAu
_space_group_name_H-M_alt 'R -3 m'
_space_group_IT_number 166
_space_group_name_Hall '-R 3 2"'
_cell_length_a 2.8224
_cell_length_b 2.8224
_cell_length_c 13.4027
_cell_angle_alpha 90.00
_cell_angle_beta 90.00
_cell_angle_gamma 120.00
loop_
_atom_site_label
_atom_site_type_symbol
_atom_site_fract_x
_atom_site_fract_y
_atom_site_fract_z
Fe1 Fe 0.0000 0.0000 0.0000
Au1 Au 0.0000 0.0000 0.5000

---

Record 3
# Nd2Dy12Tm5, relaxed, DFT GGA-PBE
# - excess energy over the best structure of this formula in the dataset (eV per atom) = 0.000
data_Nd2Dy12Tm5
_space_group_name_H-M_alt 'P -1'
_space_group_IT_number 2
_space_group_name_Hall '-P 1'
_cell_length_a 6.575
_cell_length_b 8.812
_cell_length_c 10.894
_cell_angle_alpha 84.33
_cell_angle_beta 79.15
_cell_angle_gamma 77.82
loop_
_atom_site_label
_atom_site_type_symbol
_atom_site_fract_x
_atom_site_fract_y
_atom_site_fract_z
Nd1 Nd 0.159 0.173 0.005
Dy1 Dy 0.091 0.254 0.298
Dy2 Dy 0.125 0.190 0.702
Dy3 Dy 0.233 0.555 0.454
Dy4 Dy 0.323 0.485 0.772
Dy5 Dy 0.370 0.876 0.220
Dy6 Dy 0.385 0.821 0.870
Tm1 Tm 0.000 0.000 0.500
Tm2 Tm 0.241 0.539 0.097
Tm3 Tm 0.479 0.816 0.549

---

Record 4
# Nd2Al3Sn, relaxed, DFT GGA-PBE
# - E (Ry per atom) = -0.3419
data_Nd2Al3Sn
_space_group_name_H-M_alt 'F m m m'
_space_group_IT_number 69
_space_group_name_Hall '-F 2 2'
_cell_length_a 8.503
_cell_length_b 8.988
_cell_length_c 15.529
_cell_angle_alpha 90.00
_cell_angle_beta 90.00
_cell_angle_gamma 90.00
loop_
_atom_site_label
_atom_site_type_symbol
_atom_site_fract_x
_atom_site_fract_y
_atom_site_fract_z
Nd1 Nd 0.248 0.000 0.000
Nd2 Nd 0.250 0.250 0.250
Al1 Al 0.000 0.000 0.338
Al2 Al 0.000 0.243 0.419
Sn1 Sn 0.000 0.000 0.167

---

Record 5
# Rb2Na2NpTe4, relaxed, DFT GGA-PBE
# - uncorrected formation energy (eV per atom) = -0.8603
data_Rb2Na2NpTe4
_space_group_name_H-M_alt 'C 1 2/m 1'
_space_group_IT_number 12
_space_group_name_Hall '-C 2y'
_cell_length_a 17.468
_cell_length_b 4.757
_cell_length_c 8.804
_cell_angle_alpha 90.00
_cell_angle_beta 111.11
_cell_angle_gamma 90.00
loop_
_atom_site_label
_atom_site_type_symbol
_atom_site_fract_x
_atom_site_fract_y
_atom_site_fract_z
Rb1 Rb 0.137 0.000 0.061
Na1 Na 0.179 0.500 0.476
Np1 Np 0.000 0.000 0.500
Te1 Te 0.001 0.500 0.267
Te2 Te 0.189 0.000 0.691

---

Record 6
# Ru3Au, relaxed, DFT GGA-PBE
# - excess energy over the best structure of this formula in the dataset (eV per atom) = 0.269
data_Ru3Au
_space_group_name_H-M_alt 'P m -3 m'
_space_group_IT_number 221
_space_group_name_Hall '-P 4 2 3'
_cell_length_a 3.898
_cell_length_b 3.898
_cell_length_c 3.898
_cell_angle_alpha 90.00
_cell_angle_beta 90.00
_cell_angle_gamma 90.00
loop_
_atom_site_label
_atom_site_type_symbol
_atom_site_fract_x
_atom_site_fract_y
_atom_site_fract_z
Ru1 Ru 0.000 0.000 0.500
Au1 Au 0.500 0.500 0.500

---

Record 7
# Sr2P2Ru, relaxed, DFT GGA-PBE
# - excess energy over the best structure of this formula in the dataset (eV per atom) = 0.888
data_Sr2P2Ru
_space_group_name_H-M_alt 'P 4/m b m'
_space_group_IT_number 127
_space_group_name_Hall '-P 4 2ab'
_cell_length_a 8.667
_cell_length_b 8.667
_cell_length_c 3.313
_cell_angle_alpha 90.00
_cell_angle_beta 90.00
_cell_angle_gamma 90.00
loop_
_atom_site_label
_atom_site_type_symbol
_atom_site_fract_x
_atom_site_fract_y
_atom_site_fract_z
Sr1 Sr 0.137 0.363 0.000
P1 P 0.166 0.666 0.500
Ru1 Ru 0.000 0.000 0.000

---

Record 8
# PmPrCuGe, relaxed, DFT GGA-PBE
# - E (Ry per atom) = -0.3685
data_PmPrCuGe
_space_group_name_H-M_alt 'F -4 3 m'
_space_group_IT_number 216
_space_group_name_Hall 'F -4 2 3'
_cell_length_a 7.284
_cell_length_b 7.284
_cell_length_c 7.284
_cell_angle_alpha 90.00
_cell_angle_beta 90.00
_cell_angle_gamma 90.00
loop_
_atom_site_label
_atom_site_type_symbol
_atom_site_fract_x
_atom_site_fract_y
_atom_site_fract_z
Pm1 Pm 0.000 0.000 0.000
Pr1 Pr 0.000 0.000 0.500
Cu1 Cu 0.250 0.250 0.250
Ge1 Ge 0.250 0.250 0.750

---

Record 9
# Rb2CdCl, relaxed, DFT GGA-PBE
# - uncorrected formation energy (eV per atom) = -0.6853
# - excess energy over the best structure of this formula in the dataset (eV per atom) = 0.195
data_Rb2CdCl
_space_group_name_H-M_alt 'F m -3 m'
_space_group_IT_number 225
_space_group_name_Hall '-F 4 2 3'
_cell_length_a 8.769
_cell_length_b 8.769
_cell_length_c 8.769
_cell_angle_alpha 90.00
_cell_angle_beta 90.00
_cell_angle_gamma 90.00
loop_
_atom_site_label
_atom_site_type_symbol
_atom_site_fract_x
_atom_site_fract_y
_atom_site_fract_z
Rb1 Rb 0.250 0.250 0.250
Cd1 Cd 0.000 0.000 0.000
Cl1 Cl 0.000 0.000 0.500

---

Record 10
# LaGa11Os, relaxed, DFT GGA-PBE
# - E (Ry per atom) = -0.2912
data_LaGa11Os
_space_group_name_H-M_alt 'C 1 2/m 1'
_space_group_IT_number 12
_space_group_name_Hall '-C 2y'
_cell_length_a 5.147
_cell_length_b 12.479
_cell_length_c 7.959
_cell_angle_alpha 90.00
_cell_angle_beta 108.76
_cell_angle_gamma 90.00
loop_
_atom_site_label
_atom_site_type_symbol
_atom_site_fract_x
_atom_site_fract_y
_atom_site_fract_z
La1 La 0.000 0.000 0.000
Ga1 Ga 0.000 0.500 0.500
Ga2 Ga 0.116 0.391 0.232
Ga3 Ga 0.163 0.176 0.367
Ga4 Ga 0.250 0.250 0.000
Os1 Os 0.000 0.000 0.500

---

Record 11
# TiIrPd3, relaxed, DFT GGA-PBE
# - excess energy over the best structure of this formula in the dataset (eV per atom) = 0.256
data_TiIrPd3
_space_group_name_H-M_alt 'P m -3 m'
_space_group_IT_number 221
_space_group_name_Hall '-P 4 2 3'
_cell_length_a 4.788
_cell_length_b 4.788
_cell_length_c 4.788
_cell_angle_alpha 90.00
_cell_angle_beta 90.00
_cell_angle_gamma 90.00
loop_
_atom_site_label
_atom_site_type_symbol
_atom_site_fract_x
_atom_site_fract_y
_atom_site_fract_z
Ti1 Ti 0.000 0.000 0.000
Ir1 Ir 0.500 0.500 0.500
Pd1 Pd 0.000 0.500 0.500

---

Record 12
# RbAl5Ag2, relaxed, DFT GGA-PBE
# - E (Ry per atom) = -0.2302
data_RbAl5Ag2
_space_group_name_H-M_alt 'I m m m'
_space_group_IT_number 71
_space_group_name_Hall '-I 2 2'
_cell_length_a 4.241
_cell_length_b 7.638
_cell_length_c 10.467
_cell_angle_alpha 90.00
_cell_angle_beta 90.00
_cell_angle_gamma 90.00
loop_
_atom_site_label
_atom_site_type_symbol
_atom_site_fract_x
_atom_site_fract_y
_atom_site_fract_z
Rb1 Rb 0.000 0.000 0.000
Al1 Al 0.000 0.184 0.357
Al2 Al 0.000 0.500 0.000
Ag1 Ag 0.000 0.500 0.244